The following is a DFT calculation (PBE) of a relaxed structure of Ca3TlCd8.

abc: 6.0388 6.0388 10.3818
angles: 73.09 73.09 60.00
With the nearest neighbours (Å) after each atom.
Sites, in units of the cell vectors:
Ca: 0.3763 0.3763 0.8712  12 Cd 3.50-3.55, 4 Ca 3.73-3.75
Ca: 0.9955 0.9955 0.0136  12 Cd 3.45-3.61, 1 Tl 3.59, 3 Ca 3.75
Ca: 0.5033 0.5033 0.4902  12 Cd 3.47-3.59, 3 Tl 3.65, 1 Ca 3.73
Tl: 0.8733 0.8733 0.3802  12 Cd 3.50-3.58, 4 Ca 3.59-3.65
Cd: 0.9396 0.4382 0.1840  6 Cd 2.98-3.03
Cd: 0.4345 0.9379 0.6896  6 Cd 2.99-3.04
Cd: 0.4382 0.4382 0.1840  6 Cd 2.98-3.03
Cd: 0.9379 0.9379 0.6896  6 Cd 2.99-3.04
Cd: 0.1878 0.1878 0.4367  6 Cd 3.02
Cd: 0.6876 0.6876 0.9373  6 Cd 2.98-2.99
Cd: 0.4382 0.9396 0.1840  6 Cd 2.98-3.03
Cd: 0.9379 0.4345 0.6896  6 Cd 2.99-3.04

Properties
Mass density: 6.58 g cm⁻³
Calculated volume: 308.8 Å³/cell
Energy of formation: -246.7 meV/atom
Relative energy among the computed polymorphs: 0.007 eV/atom
Calculated total energy: -18.65 eV per formula unit

=====

The following is a DFT calculation (PBE) of a relaxed structure of LaZrIn2.

abc: 3.3172 4.3617 7.2006
angles: 90.00 90.00 90.00
With the nearest neighbours (Å) after each atom.
Sites, in units of the cell vectors:
In: 0.0000 0.0000 0.9650  3 In 3.10-3.32, 4 Zr 3.15, 4 La 3.42
In: 0.0000 0.0000 0.5350  3 In 3.10-3.32, 4 Zr 3.15, 4 La 3.42
La: 0.5000 0.5000 0.2500  2 La 3.32, 8 In 3.42, 2 Zr 3.60
Zr: 0.5000 0.5000 0.7500  8 In 3.15, 2 Zr 3.32

Properties
Mass density: 7.33 g cm⁻³
Calculated volume: 104.2 Å³/cell
Energy of formation: -362.4 meV/atom
Calculated total energy: -20.40 eV per formula unit

=====

The following is a DFT calculation (PBE) of a relaxed structure of La6Sb2Te3Pb.

abc: 4.6346 9.2264 10.3335
angles: 102.78 102.96 90.00
With the nearest neighbours (Å) after each atom.
Sites, in units of the cell vectors:
La: 0.3348 0.9125 0.6696  2 Sb 3.24, 1 Pb 3.24, 3 Te 3.29-3.31
La: 0.6684 0.5786 0.3369  3 Sb 3.22-3.23, 3 Te 3.30
La: 0.6652 0.0875 0.3304  2 Sb 3.24, 1 Pb 3.24, 3 Te 3.29-3.31
La: 0.0017 0.2465 0.0035  2 Pb 3.24, 1 Sb 3.25, 3 Te 3.30-3.31
La: 0.9983 0.7535 0.9965  2 Pb 3.24, 1 Sb 3.25, 3 Te 3.30-3.31
La: 0.3316 0.4214 0.6631  3 Sb 3.22-3.23, 3 Te 3.30
Sb: 0.8328 0.6660 0.6656  6 La 3.22-3.25
Sb: 0.1672 0.3340 0.3344  6 La 3.22-3.25
Te: 0.5000 0.5000 0.0000  6 La 3.30
Te: 0.8331 0.1673 0.6662  6 La 3.29-3.31
Te: 0.1669 0.8327 0.3338  6 La 3.29-3.31
Pb: 0.5000 0.0000 0.0000  6 La 3.24

Properties
Mass density: 6.60 g cm⁻³
Calculated volume: 419.4 Å³/cell
Formation energy (no corrections): -1361 meV per atom
Calculated total energy: -67.28 eV per formula unit

=====

The following is a DFT calculation (PBE) of a relaxed structure of La2CeHfP4.

abc: 4.0512 7.0150 7.0852
angles: 109.10 90.00 90.00
With the nearest neighbours (Å) after each atom.
Sites, in units of the cell vectors:
La: 0.5000 0.0000 0.5000  6 P 2.92-2.93
La: 0.0000 0.5000 0.5000  6 P 3.03-3.04
Ce: 0.5000 0.5000 0.0000  6 P 2.83
Hf: 0.0000 0.0000 0.0000  6 P 2.71-2.74
P: 0.5000 0.2288 0.2212  2 Hf 2.74, 1 Ce 2.83, 3 La 2.92-3.03
P: 0.5000 0.7712 0.7788  2 Hf 2.74, 1 Ce 2.83, 3 La 2.92-3.03
P: 0.0000 0.2437 0.7725  1 Hf 2.71, 2 Ce 2.83, 2 La 2.93
P: 0.0000 0.7563 0.2275  1 Hf 2.71, 2 Ce 2.83, 2 La 2.93

Properties
Mass density: 6.29 g cm⁻³
Calculated volume: 190.3 Å³/cell
Energy of formation: -1458.6 meV/atom
Calculated total energy: -59.05 eV per formula unit

=====

The following is a DFT calculation (PBE) of a relaxed structure of CuPSN2.

abc: 3.2767 3.2767 6.0408
angles: 90.00 90.00 90.00
With the nearest neighbours (Å) after each atom.
Sites, in units of the cell vectors:
P: 0.0000 0.0000 0.0000  4 N 1.64
S: 0.0000 0.0000 0.5000  4 Cu 2.32
Cu: 0.5000 0.5000 0.5000  4 S 2.32
N: 0.0000 0.5000 0.0000  2 P 1.64
N: 0.5000 0.0000 0.0000  2 P 1.64

Properties
Mass density: 3.96 g cm⁻³
Calculated volume: 64.9 Å³/cell
Relative energy among the computed polymorphs: 0.000 eV/atom
Formation energy (no corrections): 659 meV per atom
Calculated total energy: -26.99 eV per formula unit

=====

The following is a DFT calculation (PBE) of a relaxed structure of Tb4Ho3ErSe8.

abc: 8.1346 8.1601 8.1356
angles: 119.91 120.00 90.00
With the nearest neighbours (Å) after each atom.
Sites, in units of the cell vectors:
Tb: 0.5000 0.0000 0.0000  6 Se 2.90
Tb: 0.5000 0.0000 0.5000  6 Se 2.90
Tb: 0.0000 0.0000 0.0000  6 Se 2.90
Tb: 0.0000 0.0000 0.5000  6 Se 2.90
Ho: 0.5000 0.5000 0.0000  6 Se 2.86-2.87
Ho: 0.5000 0.5000 0.5000  6 Se 2.86-2.87
Ho: 0.0000 0.5000 0.5000  6 Se 2.86-2.87
Er: 0.0000 0.5000 0.0000  6 Se 2.86
Se: 0.2478 0.7452 0.9972  1 Er 2.86, 2 Ho 2.86-2.87, 3 Tb 2.90
Se: 0.2482 0.7455 0.4963  1 Er 2.86, 2 Ho 2.86, 3 Tb 2.90
Se: 0.2514 0.2541 0.5029  3 Ho 2.86-2.87, 3 Tb 2.90
Se: 0.7494 0.7452 0.9972  1 Er 2.86, 2 Ho 2.86-2.87, 3 Tb 2.90
Se: 0.2506 0.2548 0.0028  1 Er 2.86, 2 Ho 2.86-2.87, 3 Tb 2.90
Se: 0.7486 0.7459 0.4971  3 Ho 2.86-2.87, 3 Tb 2.90
Se: 0.7518 0.2545 0.5037  1 Er 2.86, 2 Ho 2.86, 3 Tb 2.90
Se: 0.7522 0.2548 0.0028  1 Er 2.86, 2 Ho 2.86-2.87, 3 Tb 2.90

Properties
Mass density: 8.38 g cm⁻³
Calculated volume: 382.4 Å³/cell
Formation energy (no corrections): -1739 meV per atom
Calculated total energy: -92.53 eV per formula unit

=====

The following is a DFT calculation (PBE) of a relaxed structure of SrGaCu.

abc: 4.3619 5.6188 5.9211
angles: 90.00 111.61 90.00
With the nearest neighbours (Å) after each atom.
Sites, in units of the cell vectors:
Sr: 0.7081 0.7500 0.9163  5 Cu 3.00-3.32
Sr: 0.2919 0.2500 0.0837  5 Cu 3.00-3.32
Ga: 0.0000 0.0000 0.5000  4 Cu 2.69, 2 Ga 2.81
Ga: 0.0000 0.5000 0.5000  4 Cu 2.69, 2 Ga 2.81
Cu: 0.4354 0.7500 0.3707  4 Ga 2.69, 1 Sr 3.00
Cu: 0.5646 0.2500 0.6293  4 Ga 2.69, 1 Sr 3.00

Properties
Mass density: 5.44 g cm⁻³
Calculated volume: 134.9 Å³/cell
Energy of formation: -207.3 meV/atom
Calculated total energy: -9.43 eV per formula unit

=====

The following is a DFT calculation (PBE) of a relaxed structure of Ac4PrGe4.

abc: 6.4750 9.6048 9.6048
angles: 90.00 90.00 90.00
With the nearest neighbours (Å) after each atom.
Sites, in units of the cell vectors:
Ac: 0.3682 0.2957 0.9262  4 Ge 3.13-3.43
Ac: 0.8682 0.5738 0.7957  4 Ge 3.13-3.43
Ac: 0.3682 0.7043 0.0738  4 Ge 3.13-3.43
Ac: 0.1318 0.2043 0.5738  4 Ge 3.13-3.43
Ac: 0.6318 0.9262 0.7043  4 Ge 3.13-3.43
Ac: 0.1318 0.7957 0.4262  4 Ge 3.13-3.43
Ac: 0.8682 0.4262 0.2043  4 Ge 3.13-3.43
Ac: 0.6318 0.0738 0.2957  4 Ge 3.13-3.43
Pr: 0.0000 0.0000 0.0000  4 Ge 2.92
Pr: 0.5000 0.5000 0.5000  4 Ge 2.92
Ge: 0.6458 0.7577 0.3727  1 Ge 2.72, 1 Pr 2.92
Ge: 0.6458 0.2423 0.6273  1 Ge 2.72, 1 Pr 2.92
Ge: 0.1458 0.8727 0.7423  1 Ge 2.72, 1 Pr 2.92
Ge: 0.8542 0.2577 0.8727  1 Ge 2.72, 1 Pr 2.92
Ge: 0.8542 0.7423 0.1273  1 Ge 2.72, 1 Pr 2.92
Ge: 0.3542 0.3727 0.2423  1 Ge 2.72, 1 Pr 2.92
Ge: 0.3542 0.6273 0.7577  1 Ge 2.72, 1 Pr 2.92
Ge: 0.1458 0.1273 0.2577  1 Ge 2.72, 1 Pr 2.92

Properties
Mass density: 7.45 g cm⁻³
Calculated volume: 597.3 Å³/cell
Energy of formation: -528.3 meV/atom
Calculated total energy: -44.44 eV per formula unit